(1)
Below is a relaxed TlRh4W crystal, with properties calculated at the PBE-GGA level.

a b c (Å): 5.155 5.155 5.155
angles (deg): 60.00 60.00 60.00
Fractional coordinates of all 6 atoms:
Tl 0.000 0.000 0.000
Rh 0.375 0.375 0.375
Rh 0.375 0.375 0.875
Rh 0.375 0.875 0.375
Rh 0.875 0.375 0.375
W 0.750 0.750 0.750

Output
For the volume, the calculation gives 16.15 Å³ per atom. As for the space-group type: No. 216.

=====

(2)
Below is a relaxed TlRhW4 crystal, with properties calculated at the PBE-GGA level.

a b c (Å): 5.325 5.325 5.325
angles (deg): 60.00 60.00 60.00
Fractional coordinates of all 6 atoms:
Tl 0.000 0.000 0.000
Rh 0.250 0.250 0.250
W 0.122 0.626 0.626
W 0.626 0.122 0.626
W 0.626 0.626 0.122
W 0.626 0.626 0.626

Output
For the volume, the calculation gives 17.79 Å³ per atom. As for the space-group type: No. 216.

=====

no.,formation enthalpy at 0 K (eV/atom)
1,0.3688
2,0.7060